Record 1
Density functional theory data (PBE-GGA) for PrDy6Tm8 after structural relaxation.

Cell lengths 9.3844, 9.3844, 6.3995 Å; angles 90.00, 90.00, 120.00 degrees
Space group P-3 (No. 147)
Symmetry-distinct sites (fractional):
Pr (0.0000, 0.0000, 0.0000) x1
Dy (0.1025, 0.4203, 0.9132) x6
Tm (0.0241, 0.6854, 0.5903) x6
Tm (0.3333, 0.6667, 0.3443) x2

Results
Calculated volume in Å³ per cell: 488
ΔE_f in eV/atom: 0.230
Raw total energy in eV per atom: -4.314

---

Record 2
Density functional theory data (PBE-GGA) for PrDyTm2 after structural relaxation.

Cell lengths 3.5746, 3.5746, 34.5883 Å; angles 90.00, 90.00, 120.00 degrees
Space group R3m (No. 160, hexagonal axes)
Symmetry-distinct sites (fractional):
Pr (0.0000, 0.0000, 0.0000) x3
Dy (0.0000, 0.0000, 0.8343) x3
Tm (0.0000, 0.0000, 0.2488) x3
Tm (0.0000, 0.0000, 0.4194) x3

Results
Calculated volume in Å³ per cell: 383
ΔE_f in eV/atom: 0.027
Raw total energy in eV per atom: -4.554

---

Record 3
Density functional theory data (PBE-GGA) for Pr2DyTm7 after structural relaxation.

Cell lengths 6.440, 28.678, 3.498 Å; angles 90.00, 90.00, 90.00 degrees
Space group Cmmm (No. 65)
Symmetry-distinct sites (fractional):
Pr (0.000, 0.208, 0.000) x4
Dy (0.000, 0.500, 0.500) x2
Tm (0.000, 0.000, 0.000) x2
Tm (0.000, 0.317, 0.500) x4
Tm (0.246, 0.403, 0.000) x8

Results
Calculated volume in Å³ per cell: 646
ΔE_f in eV/atom: 0.159
Raw total energy in eV per atom: -4.388

---

- What is the formula in the first record?
  PrDy6Tm8